Entry 1:
An optimized crystal structure of Tl2PSe. Source: Alexandria via LeMat-Bulk, functional GGA-PBE.

Results
ΔE_f (raw) (eV/atom): 0.30
V (Å³/f.u.): 101.4
Crystal system: tetragonal
Final energy (eV/atom): -3.1030
Total magnetic moment (Bohr magnetons per cell): 0.00

Unit cell a=4.5734 b=4.5734 c=9.6975 alpha=90.00 beta=90.00 gamma=90.00
With the nearest neighbours (Å) after each atom.
Space group I4/mmm (No. 139)
Inequivalent atoms, fractional coordinates:
Tl 0.0000 0.5000 0.2500 x4  4 Tl 3.23, 4 Se 3.33, 4 P 3.33
P 0.0000 0.0000 0.0000 x2  4 Se 3.23, 8 Tl 3.33
Se 0.0000 0.0000 0.5000 x2  4 P 3.23, 8 Tl 3.33

---

Entry 2:
An optimized crystal structure of TlPSe2. Source: Alexandria via LeMat-Bulk, functional GGA-PBE.

Results
ΔE_f (raw) (eV/atom): 0.17
V (Å³/f.u.): 115.5
Crystal system: orthorhombic
Final energy (eV/atom): -3.5201
Total magnetic moment (Bohr magnetons per cell): 0.00

Unit cell a=3.3642 b=7.7380 c=8.8766 alpha=90.00 beta=90.00 gamma=90.00
With the nearest neighbours (Å) after each atom.
Space group Cmmm (No. 65)
Inequivalent atoms, fractional coordinates:
Tl 0.0000 0.0000 0.0000 x2  4 Se 3.22, 2 Tl 3.36
P 0.0000 0.0000 0.5000 x2  4 Se 2.39
Se 0.0000 0.5000 0.3091 x4  2 P 2.39

---

Entry 3:
An optimized crystal structure of Tl2PSe. Source: Alexandria via LeMat-Bulk, functional GGA-PBE.

Results
ΔE_f (raw) (eV/atom): 0.31
V (Å³/f.u.): 101.4
Crystal system: tetragonal
Final energy (eV/atom): -3.0991
Total magnetic moment (Bohr magnetons per cell): 0.00

Unit cell a=4.5396 b=4.5396 c=4.9201 alpha=90.00 beta=90.00 gamma=90.00
With the nearest neighbours (Å) after each atom.
Space group P4/mmm (No. 123)
Inequivalent atoms, fractional coordinates:
Tl 0.0000 0.5000 0.0000 x2  4 Tl 3.21, 4 Se 3.35, 4 P 3.35
P 0.0000 0.0000 0.5000 x1  4 Se 3.21, 8 Tl 3.35
Se 0.5000 0.5000 0.5000 x1  4 P 3.21, 8 Tl 3.35

---

Entry 4:
An optimized crystal structure of Tl3PSe3. Source: Alexandria via LeMat-Bulk, functional GGA-PBE.

Results
ΔE_f (raw) (eV/atom): -0.13
V (Å³/f.u.): 247.8
Crystal system: orthorhombic
Final energy (eV/atom): -3.4075
Total magnetic moment (Bohr magnetons per cell): 0.00

Unit cell a=9.3600 b=16.1506 c=6.5560 alpha=90.00 beta=90.00 gamma=90.00
With the nearest neighbours (Å) after each atom.
Space group Cmcm (No. 63)
Inequivalent atoms, fractional coordinates:
Tl 0.0000 0.2035 0.2500 x4  4 Se 3.23-3.28
Tl 0.1939 0.3981 0.2500 x8  4 Se 3.22-3.28
P 0.0000 0.3330 0.7500 x4  3 Se 2.25
Se 0.0000 0.1939 0.7500 x4  1 P 2.25
Se 0.2078 0.4026 0.7500 x8  1 P 2.25

---

Entry 5:
An optimized crystal structure of TlPSe4. Source: Alexandria via LeMat-Bulk, functional GGA-PBE.

Results
ΔE_f (raw) (eV/atom): -0.04
V (Å³/f.u.): 202.2
Crystal system: monoclinic
Final energy (eV/atom): -3.6609
Total magnetic moment (Bohr magnetons per cell): 0.00

Unit cell a=8.1268 b=8.7578 c=11.4725 alpha=90.00 beta=97.98 gamma=90.00
With the nearest neighbours (Å) after each atom.
Space group C2/c (No. 15)
Inequivalent atoms, fractional coordinates:
Tl 0.0000 0.2407 0.2500 x4  6 Se 3.47-3.57
P 0.0000 0.3015 0.7500 x4  4 Se 2.20-2.22
Se 0.0992 0.1748 0.6096 x8  1 P 2.20
Se 0.1724 0.4288 0.8821 x8  1 P 2.22

---

Entry 6:
An optimized crystal structure of Tl5PSe8. Source: Alexandria via LeMat-Bulk, functional GGA-PBE.

Results
ΔE_f (raw) (eV/atom): -0.11
V (Å³/f.u.): 464.0
Crystal system: tetragonal
Final energy (eV/atom): -3.3357
Total magnetic moment (Bohr magnetons per cell): 0.00

Unit cell a=8.4106 b=8.4106 c=13.1194 alpha=90.00 beta=90.00 gamma=90.00
With the nearest neighbours (Å) after each atom.
Space group I-4 (No. 82)
Inequivalent atoms, fractional coordinates:
Tl 0.0000 0.0000 0.0000 x2  4 Se 3.21
Tl 0.1440 0.6905 0.6343 x8  4 Se 3.01-3.16
P 0.0000 0.5000 0.2500 x2  4 Se 2.30
Se 0.0415 0.7271 0.3437 x8  1 P 2.30
Se 0.1596 0.7198 0.8693 x8  1 Se 2.58

---

Entry 7:
An optimized crystal structure of Tl2PSe. Source: Alexandria via LeMat-Bulk, functional GGA-PBE.

Results
ΔE_f (raw) (eV/atom): 0.05
V (Å³/f.u.): 132.5
Crystal system: tetragonal
Final energy (eV/atom): -3.3568
Total magnetic moment (Bohr magnetons per cell): 0.00

Unit cell a=6.4103 b=6.4103 c=12.9006 alpha=90.00 beta=90.00 gamma=90.00
With the nearest neighbours (Å) after each atom.
Space group I-42d (No. 122)
Inequivalent atoms, fractional coordinates:
Tl 0.2249 0.2500 0.1250 x8  2 P 2.69, 2 Se 2.88
P 0.0000 0.0000 0.0000 x4  4 Tl 2.69
Se 0.0000 0.0000 0.5000 x4  4 Tl 2.88

---

Entry 8:
An optimized crystal structure of Tl2PSe3. Source: Alexandria via LeMat-Bulk, functional GGA-PBE.

Results
ΔE_f (raw) (eV/atom): -0.23
V (Å³/f.u.): 190.8
Crystal system: orthorhombic
Final energy (eV/atom): -3.6586
Total magnetic moment (Bohr magnetons per cell): 0.00

Unit cell a=7.3350 b=13.2130 c=15.7512 alpha=90.00 beta=90.00 gamma=90.00
With the nearest neighbours (Å) after each atom.
Space group Cmce (No. 64)
Inequivalent atoms, fractional coordinates:
Tl 0.0000 0.0624 0.1602 x8  3 Se 3.23-3.44
Tl 0.0000 0.1469 0.5744 x8  5 Se 3.18-3.40
P 0.0000 0.2434 0.8411 x8  4 Se 2.23-2.41
Se 0.0000 0.0902 0.3639 x8  1 P 2.23
Se 0.0000 0.1535 0.9614 x8  1 P 2.24
Se 0.2500 0.1974 0.7500 x8  2 P 2.41

---

Entry 9:
An optimized crystal structure of TlPSe2. Source: Alexandria via LeMat-Bulk, functional GGA-PBE.

Results
ΔE_f (raw) (eV/atom): 0.19
V (Å³/f.u.): 104.9
Crystal system: tetragonal
Final energy (eV/atom): -3.4936
Total magnetic moment (Bohr magnetons per cell): 0.00

Unit cell a=3.3021 b=3.3021 c=9.6199 alpha=90.00 beta=90.00 gamma=90.00
With the nearest neighbours (Å) after each atom.
Space group P4mm (No. 99)
Inequivalent atoms, fractional coordinates:
Tl 0.0000 0.0000 0.0000 x1  4 Se 3.19, 4 Tl 3.30
P 0.5000 0.5000 0.3020 x1  4 Se 2.52
Se 0.0000 0.0000 0.4014 x1  4 P 2.52
Se 0.5000 0.5000 0.7739 x1  4 Tl 3.19, 4 Se 3.30

---

Entry 10:
An optimized crystal structure of Tl2PSe. Source: Alexandria via LeMat-Bulk, functional GGA-PBE.

Results
ΔE_f (raw) (eV/atom): 0.31
V (Å³/f.u.): 98.5
Crystal system: cubic
Final energy (eV/atom): -3.0987
Total magnetic moment (Bohr magnetons per cell): 0.00

Unit cell a=7.3317 b=7.3317 c=7.3317 alpha=90.00 beta=90.00 gamma=90.00
With the nearest neighbours (Å) after each atom.
Space group Fm-3m (No. 225)
Inequivalent atoms, fractional coordinates:
Tl 0.2500 0.2500 0.2500 x8  4 Se 3.17, 4 P 3.17
P 0.0000 0.0000 0.0000 x4  8 Tl 3.17
Se 0.0000 0.0000 0.5000 x4  8 Tl 3.17

---

Entry 11:
An optimized crystal structure of Tl3PSe. Source: Alexandria via LeMat-Bulk, functional GGA-PBE.

Results
ΔE_f (raw) (eV/atom): 0.17
V (Å³/f.u.): 160.3
Crystal system: cubic
Final energy (eV/atom): -3.0267
Total magnetic moment (Bohr magnetons per cell): 0.00

Unit cell a=5.4328 b=5.4328 c=5.4328 alpha=90.00 beta=90.00 gamma=90.00
With the nearest neighbours (Å) after each atom.
Space group Pm-3m (No. 221)
Inequivalent atoms, fractional coordinates:
Tl 0.0000 0.0000 0.5000 x3  2 P 2.72
P 0.0000 0.0000 0.0000 x1  6 Tl 2.72
Se 0.5000 0.5000 0.5000 x1  12 Tl 3.84

---

Entry 12:
An optimized crystal structure of TlPSe2. Source: Alexandria via LeMat-Bulk, functional GGA-PBE.

Results
ΔE_f (raw) (eV/atom): 0.49
V (Å³/f.u.): 87.8
Crystal system: cubic
Final energy (eV/atom): -3.1959
Total magnetic moment (Bohr magnetons per cell): 0.00

Unit cell a=7.0541 b=7.0541 c=7.0541 alpha=90.00 beta=90.00 gamma=90.00
With the nearest neighbours (Å) after each atom.
Space group Fm-3m (No. 225)
Inequivalent atoms, fractional coordinates:
Tl 0.0000 0.0000 0.0000 x4  8 Se 3.05
P 0.0000 0.0000 0.5000 x4  8 Se 3.05
Se 0.2500 0.2500 0.2500 x8  4 Tl 3.05, 4 P 3.05